# 1
Here is crystalline Cs3Tm3SbS8 at its relaxed geometry from Alexandria via LeMat-Bulk. Energies are from PBE.

```
data_Cs3Tm3SbS8
_chemical_formula_sum 'Cs9 Tm9 Sb3 S24'
_cell_length_a 7.9733
_cell_length_b 7.9733
_cell_length_c 24.6285
_cell_angle_alpha 90.00
_cell_angle_beta 90.00
_cell_angle_gamma 120.00
_space_group_name_H-M_alt 'R -3 m'
_space_group_IT_number 166
_space_group_name_Hall '-R 3 2"'
loop_
_atom_site_label
_atom_site_fract_x
_atom_site_fract_y
_atom_site_fract_z
Cs1 0.0000 0.5000 0.0000
Tm1 0.0000 0.5000 0.5000
Sb1 0.0000 0.0000 0.5000
S1 0.0000 0.0000 0.2258
S2 0.0061 0.5030 0.2253
```

Summary:
Formation energy from raw total energies (meV/atom): -1513.1

# 2
Here is crystalline Na3NdEr2O6 at its relaxed geometry from Alexandria via LeMat-Bulk. Energies are from PBE.

```
data_Na3NdEr2O6
_chemical_formula_sum 'Na6 Nd2 Er4 O12'
_cell_length_a 5.986
_cell_length_b 10.378
_cell_length_c 5.940
_cell_angle_alpha 90.00
_cell_angle_beta 109.53
_cell_angle_gamma 90.00
_space_group_name_H-M_alt 'C 1 2/m 1'
_space_group_IT_number 12
loop_
_space_group_symop_operation_xyz
'x,y,z'
'-x,-y,-z'
'-x,y,-z'
'x,-y,z'
'x+1/2,y+1/2,z'
'-x+1/2,-y+1/2,-z'
'-x+1/2,y+1/2,-z'
'x+1/2,-y+1/2,z'
loop_
_atom_site_label
_atom_site_fract_x
_atom_site_fract_y
_atom_site_fract_z
Na1 0.000 0.000 0.000
Na2 0.000 0.328 0.000
Nd1 0.000 0.500 0.500
Er1 0.000 0.167 0.500
O1 0.223 0.000 0.712
O2 0.243 0.327 0.711
```

Summary:
Formation energy from raw total energies (meV/atom): -2755.7

# 3
Here is crystalline Rb2SnBiTe4 at its relaxed geometry from Alexandria via LeMat-Bulk. Energies are from PBE.

```
data_Rb2SnBiTe4
_chemical_formula_sum 'Rb16 Sn8 Bi8 Te32'
_cell_length_a 7.277
_cell_length_b 15.873
_cell_length_c 25.520
_cell_angle_alpha 90.00
_cell_angle_beta 90.00
_cell_angle_gamma 90.00
_space_group_name_H-M_alt 'F d d d'
_space_group_IT_number 70
loop_
_space_group_symop_operation_xyz
'x,y,z'
'-x,-y,-z'
'-x+1/4,-y+1/4,z'
'x+1/4,y+1/4,-z'
'x,-y+1/4,-z+1/4'
'-x,y+1/4,z+1/4'
'-x+1/4,y,-z+1/4'
'x+1/4,-y,z+1/4'
'x,y+1/2,z+1/2'
'-x,-y+1/2,-z+1/2'
'-x+1/4,-y+3/4,z+1/2'
'x+1/4,y+3/4,-z+1/2'
'x,-y+3/4,-z+3/4'
'-x,y+3/4,z+3/4'
'-x+1/4,y+1/2,-z+3/4'
'x+1/4,-y+1/2,z+3/4'
'x+1/2,y,z+1/2'
'-x+1/2,-y,-z+1/2'
'-x+3/4,-y+1/4,z+1/2'
'x+3/4,y+1/4,-z+1/2'
'x+1/2,-y+1/4,-z+3/4'
'-x+1/2,y+1/4,z+3/4'
'-x+3/4,y,-z+3/4'
'x+3/4,-y,z+3/4'
'x+1/2,y+1/2,z'
'-x+1/2,-y+1/2,-z'
'-x+3/4,-y+3/4,z'
'x+3/4,y+3/4,-z'
'x+1/2,-y+3/4,-z+1/4'
'-x+1/2,y+3/4,z+1/4'
'-x+3/4,y+1/2,-z+1/4'
'x+3/4,-y+1/2,z+1/4'
loop_
_atom_site_label
_atom_site_fract_x
_atom_site_fract_y
_atom_site_fract_z
Rb1 0.125 0.125 0.311
Sn1 0.125 0.125 0.625
Bi1 0.125 0.125 0.125
Te1 0.123 0.267 0.809
```

Summary:
Formation energy from raw total energies (meV/atom): -483.9

# 4
Here is crystalline Ti3Nb3Mo2 at its relaxed geometry from Alexandria via LeMat-Bulk. Energies are from PBE.

```
data_Ti3Nb3Mo2
_chemical_formula_sum 'Ti6 Nb6 Mo4'
_cell_length_a 4.879
_cell_length_b 10.682
_cell_length_c 5.324
_cell_angle_alpha 90.00
_cell_angle_beta 91.31
_cell_angle_gamma 90.00
_space_group_name_H-M_alt 'P 1 21/m 1'
_space_group_IT_number 11
loop_
_space_group_symop_operation_xyz
'x,y,z'
'-x,-y,-z'
'-x,y+1/2,-z'
'x,-y+1/2,z'
loop_
_atom_site_label
_atom_site_fract_x
_atom_site_fract_y
_atom_site_fract_z
Ti1 0.144 0.250 0.161
Ti2 0.306 0.613 0.618
Nb1 0.252 0.005 0.133
Nb2 0.356 0.750 0.112
Mo1 0.190 0.132 0.642
```

Summary:
ΔE_f (meV per atom): 114.4

Let's list uncorrected energy in order: -5.05, -6.72, -3.28, -9.33 eV per atom.